Entry from Alexandria: a geometry-optimized RbCo3As structure (PBE).

The structure belongs to space group Pm-3m (No. 221); the cell edges are 4.636, 4.636 and 4.636 Å and the angles 90.00°, 90.00° and 90.00°. The distinct sites, in fractional coordinates, are Rb at (0.000, 0.000, 0.000), Co at (0.000, 0.000, 0.500) and As at (0.500, 0.500, 0.500).

Its calculated formation energy is 2.50 eV per atom. The total energy is -2.891 eV/atom. Its energy above the most stable polymorph in this dataset is 1.737 eV/atom.

---

Entry from Alexandria: a geometry-optimized Mg2SnCI structure (PBE).

The structure belongs to space group P4/mmm (No. 123); the cell edges are 5.642, 5.642 and 4.195 Å and the angles 90.00°, 90.00° and 90.00°. The distinct sites, in fractional coordinates, are Mg at (0.000, 0.500, 0.000), Sn at (0.000, 0.000, 0.500), C at (0.500, 0.500, 0.500) and I at (0.500, 0.500, 0.000).

Its uncorrected formation energy is 1346.1 meV per atom. The total energy is -2.247 eV/atom.

---

Entry from Alexandria: a geometry-optimized NaGe2S4 structure (PBE).

The structure belongs to space group I4/m (No. 87); the cell edges are 7.670, 7.670 and 6.058 Å and the angles 90.00°, 90.00° and 90.00°. The distinct sites, in fractional coordinates, are Na at (0.000, 0.000, 0.000), Ge at (0.000, 0.500, 0.250) and S at (0.161, 0.335, 0.500).

Its uncorrected formation energy is -444.2 meV per atom. The total energy is -4.310 eV/atom. Its energy above the most stable polymorph in this dataset is 0.000 eV/atom.

---

Q: total energy of number 1 (RbCo3As)?
A: -2.891 eV/atom

---

Repeat the second record exactly.
Entry from Alexandria: a geometry-optimized Mg2SnCI structure (PBE).

The structure belongs to space group P4/mmm (No. 123); the cell edges are 5.642, 5.642 and 4.195 Å and the angles 90.00°, 90.00° and 90.00°. The distinct sites, in fractional coordinates, are Mg at (0.000, 0.500, 0.000), Sn at (0.000, 0.000, 0.500), C at (0.500, 0.500, 0.500) and I at (0.500, 0.500, 0.000).

Its uncorrected formation energy is 1346.1 meV per atom. The total energy is -2.247 eV/atom.

---

Please write out number 1 again, unchanged.
Entry from Alexandria: a geometry-optimized RbCo3As structure (PBE).

The structure belongs to space group Pm-3m (No. 221); the cell edges are 4.636, 4.636 and 4.636 Å and the angles 90.00°, 90.00° and 90.00°. The distinct sites, in fractional coordinates, are Rb at (0.000, 0.000, 0.000), Co at (0.000, 0.000, 0.500) and As at (0.500, 0.500, 0.500).

Its calculated formation energy is 2.50 eV per atom. The total energy is -2.891 eV/atom. Its energy above the most stable polymorph in this dataset is 1.737 eV/atom.